# 1
VASP calculation (PBE) on an optimized crystal structure of TmCu3.

Lattice parameters (Å, degrees): 3.420 3.724 5.335 90.00 90.00 90.00
Space group Pmm2 (No. 25)
Inequivalent atoms, fractional coordinates:
Tm 0.000 0.000 0.000 [1 per cell]
Cu 0.000 0.500 0.574 [1 per cell]
Cu 0.500 0.000 0.546 [1 per cell]
Cu 0.500 0.500 0.241 [1 per cell]

Results
The crystal system is orthorhombic. For the volume, the calculation gives 16.99 Å³ per atom. The electronic total energy is -16.785 eV per cell.

***

# 2
VASP calculation (PBE) on an optimized crystal structure of NbTePdN2.

Lattice parameters (Å, degrees): 4.016 4.016 5.245 90.00 90.00 90.00
Space group P4/mmm (No. 123)
Inequivalent atoms, fractional coordinates:
Nb 0.000 0.000 0.000 [1 per cell]
Te 0.500 0.500 0.000 [1 per cell]
Pd 0.500 0.500 0.500 [1 per cell]
N 0.000 0.500 0.500 [2 per cell]

Results
The uncorrected formation energy is 36.989 kcal/mol of atoms. For the offset from the most stable computed form, the calculation gives 1179 meV per atom. The crystal system is tetragonal. For the volume, the calculation gives 16.92 Å³ per atom.

***

# 3
VASP calculation (PBE) on an optimized crystal structure of Ir3PtRh3.

Lattice parameters (Å, degrees): 7.2569 7.2569 4.4786 90.00 90.00 120.00
Space group P6_3/m (No. 176)
Inequivalent atoms, fractional coordinates:
Ir 0.0470 0.8106 0.2500 [6 per cell]
Pt 0.3333 0.6667 0.2500 [2 per cell]
Rh 0.0938 0.6229 0.7500 [6 per cell]

Results
For the offset from the most stable computed form, the calculation gives 46 meV per atom. The crystal system is hexagonal. For the volume, the calculation gives 14.59 Å³ per atom.